Record 1
Computed, not measured: a relaxed K2NaP2 crystal at the GGA-PBEsol level of DFT.

Cell and atoms, written as POSCAR:
```
K2NaP2
1.0
4.894 0.000 0.000
0.000 7.518 0.000
0.000 0.000 7.518
K Na P
4 2 4
Direct
0.500 0.178 0.678 K
0.500 0.322 0.178 K
0.500 0.678 0.822 K
0.500 0.822 0.322 K
0.000 0.500 0.500 Na
0.000 0.000 0.000 Na
0.000 0.399 0.899 P
0.000 0.601 0.101 P
0.000 0.101 0.399 P
0.000 0.899 0.601 P
```

DFT formation energy: -0.26 eV per atom
space group: No. 127
calculated total energy: -3.3136 eV/atom
crystal system: tetragonal
energy above the most stable polymorph in this dataset: 0.000 eV/atom



Record 2
Computed, not measured: a relaxed K2Na3SiP3 crystal at the GGA-PBEsol level of DFT.

Cell and atoms, written as POSCAR:
```
K2Na3SiP3
1.0
-1.803 4.295 0.691
-8.153 -4.883 9.075
9.919 2.514 10.263
K Na P Si
8 12 12 4
Direct
0.750 0.640 0.991 K
0.750 0.860 0.491 K
0.250 0.557 0.802 K
0.250 0.360 0.009 K
0.250 0.140 0.509 K
0.750 0.057 0.698 K
0.250 0.943 0.302 K
0.750 0.443 0.198 K
0.250 0.235 0.256 Na
0.750 0.735 0.244 Na
0.750 0.571 0.441 Na
0.250 0.265 0.756 Na
0.750 0.179 0.913 Na
0.250 0.679 0.587 Na
0.750 0.765 0.744 Na
0.250 0.429 0.559 Na
0.750 0.321 0.413 Na
0.750 0.929 0.941 Na
0.250 0.821 0.087 Na
0.250 0.071 0.059 Na
0.750 0.392 0.852 P
0.250 0.434 0.358 P
0.750 0.218 0.111 P
0.250 0.066 0.858 P
0.750 0.108 0.352 P
0.250 0.892 0.648 P
0.250 0.718 0.389 P
0.750 0.566 0.642 P
0.750 0.282 0.611 P
0.250 0.608 0.148 P
0.750 0.934 0.142 P
0.250 0.782 0.889 P
0.250 0.587 0.297 Si
0.750 0.413 0.703 Si
0.750 0.087 0.203 Si
0.250 0.913 0.797 Si
```

uncorrected formation energy: -9.48 kcal/mol of atoms
space group: No. 62
calculated total energy: -3.6985 eV/atom
crystal system: orthorhombic



Record 3
Computed, not measured: a relaxed K3Na2SnP3 crystal at the GGA-PBEsol level of DFT.

Cell and atoms, written as POSCAR:
```
K3Na2SnP3
1.0
-2.010 4.279 4.618
6.087 -7.145 4.542
11.963 8.496 -2.667
K Sn Na P
12 4 8 12
Direct
0.603 0.666 0.823 K
0.436 0.334 0.677 K
0.897 0.334 0.323 K
0.760 0.000 0.180 K
0.103 0.666 0.677 K
0.936 0.334 0.823 K
0.740 0.000 0.680 K
0.397 0.334 0.177 K
0.064 0.666 0.177 K
0.564 0.666 0.323 K
0.260 0.000 0.320 K
0.240 0.000 0.820 K
0.088 0.177 0.500 Sn
0.912 0.823 0.500 Sn
0.412 0.823 0.000 Sn
0.588 0.177 0.000 Sn
0.744 0.489 0.500 Na
0.581 0.162 0.500 Na
0.081 0.162 0.000 Na
0.244 0.489 0.000 Na
0.256 0.511 0.500 Na
0.756 0.511 0.000 Na
0.919 0.838 0.000 Na
0.419 0.838 0.500 Na
0.062 0.684 0.395 P
0.438 0.316 0.895 P
0.622 0.684 0.605 P
0.938 0.316 0.605 P
0.203 0.000 0.594 P
0.122 0.684 0.895 P
0.703 0.000 0.906 P
0.297 0.000 0.094 P
0.797 0.000 0.406 P
0.378 0.316 0.395 P
0.562 0.684 0.105 P
0.878 0.316 0.105 P
```

DFT formation energy: -0.39 eV per atom
space group: No. 64
calculated total energy: -3.4844 eV/atom
crystal system: orthorhombic



Record 4
Computed, not measured: a relaxed K2Na2Pb crystal at the GGA-PBEsol level of DFT.

Cell and atoms, written as POSCAR:
```
K2Na2Pb
1.0
6.001 0.000 0.000
0.000 8.221 0.000
0.000 0.000 8.221
K Na Pb
4 4 2
Direct
0.500 0.809 0.309 K
0.500 0.309 0.191 K
0.500 0.691 0.809 K
0.500 0.191 0.691 K
0.000 0.651 0.151 Na
0.000 0.849 0.651 Na
0.000 0.349 0.849 Na
0.000 0.151 0.349 Na
0.000 0.500 0.500 Pb
0.000 0.000 0.000 Pb
```

DFT formation energy: -0.01 eV per atom
space group: No. 127
calculated total energy: -1.8234 eV/atom
crystal system: tetragonal
energy above the most stable polymorph in this dataset: 0.000 eV/atom